Here is an optimized crystal structure of Mn4ZnHg from Alexandria via LeMat-Bulk. Energies are from PBE-GGA.

a b c (Å): 4.889 4.889 4.889
angles (deg): 60.00 60.00 60.00
Fractional positions:
Mn1 0.872 0.376 0.376
Mn2 0.376 0.376 0.872
Mn3 0.376 0.872 0.376
Mn4 0.376 0.376 0.376
Zn1 0.750 0.750 0.750
Hg1 0.000 0.000 0.000

Computed properties:
Calculated formation energy: 0.45 eV/atom
Space group: F-43m (216)
E: -5.931 eV per atom
Magnetic moment: 7.22 μB/f.u.

***

Here is an optimized crystal structure of Ac2PrHgTe5 from Alexandria via LeMat-Bulk. Energies are from PBE-GGA.

a b c (Å): 4.592 10.072 13.931
angles (deg): 90.00 90.00 103.18
Fractional positions:
Ac1 0.876 0.752 0.806
Ac2 0.123 0.246 0.683
Ac3 0.124 0.248 0.306
Ac4 0.877 0.754 0.183
Pr1 0.812 0.624 0.501
Pr2 0.188 0.376 0.001
Hg1 0.563 0.125 0.969
Hg2 0.437 0.875 0.469
Te1 0.354 0.708 0.998
Te2 0.701 0.402 0.835
Te3 0.505 0.011 0.780
Te4 0.296 0.592 0.663
Te5 0.964 0.927 0.590
Te6 0.646 0.292 0.498
Te7 0.299 0.598 0.335
Te8 0.495 0.989 0.280
Te9 0.704 0.408 0.163
Te10 0.036 0.073 0.090

Computed properties:
Space group: Cmc2_1 (36)
Uncorrected formation energy: -120.2 kJ per mole of atoms
E: -4.469 eV per atom
Magnetic moment: 0.00 μB/f.u.

***

Here is an optimized crystal structure of Pm2Th3Sn4 from Alexandria via LeMat-Bulk. Energies are from PBE-GGA.

a b c (Å): 6.254 9.536 9.536
angles (deg): 73.17 88.67 88.67
Fractional positions:
Pm1 0.612 0.157 0.397
Pm2 0.888 0.603 0.843
Pm3 0.388 0.843 0.603
Pm4 0.112 0.397 0.157
Th1 0.090 0.010 0.218
Th2 0.410 0.782 0.990
Th3 0.910 0.990 0.782
Th4 0.590 0.218 0.010
Th5 0.250 0.569 0.431
Th6 0.750 0.431 0.569
Sn1 0.565 0.887 0.264
Sn2 0.935 0.736 0.113
Sn3 0.435 0.113 0.736
Sn4 0.065 0.264 0.887
Sn5 0.112 0.202 0.478
Sn6 0.388 0.522 0.798
Sn7 0.888 0.798 0.522
Sn8 0.612 0.478 0.202

Computed properties:
Calculated formation energy: -0.44 eV/atom
Space group: C2/c (15)
E: -5.746 eV per atom
Magnetic moment: 0.00 μB/f.u.

***

Here is an optimized crystal structure of BeNiCl2 from Alexandria via LeMat-Bulk. Energies are from PBE-GGA.

a b c (Å): 5.046 5.046 6.002
angles (deg): 65.14 65.14 90.00
Fractional positions:
Ni1 0.000 0.000 0.000
Ni2 0.750 0.250 0.500
Be1 0.500 0.500 0.000
Be2 0.250 0.750 0.500
Cl1 0.592 0.125 0.250
Cl2 0.158 0.625 0.250
Cl3 0.375 0.408 0.750
Cl4 0.875 0.842 0.750

Computed properties:
Space group: I-42d (122)
Uncorrected formation energy: -20.4 kJ per mole of atoms
Energy above the most stable polymorph in this dataset: 247 meV/atom
E: -3.512 eV per atom
Magnetic moment: 0.00 μB/f.u.

***

Here is an optimized crystal structure of LiTcHg2 from Alexandria via LeMat-Bulk. Energies are from PBE-GGA.

a b c (Å): 4.839 4.839 5.728
angles (deg): 83.37 83.37 33.48
Fractional positions:
Hg1 0.998 0.998 0.001
Hg2 0.502 0.502 0.499
Li1 0.750 0.750 0.750
Tc1 0.250 0.250 0.250

Computed properties:
Calculated formation energy: 0.38 eV/atom
Space group: C2/m (12)
Energy above the most stable polymorph in this dataset: 225 meV/atom
E: -2.838 eV per atom
Magnetic moment: 0.00 μB/f.u.

***

Here is an optimized crystal structure of RbNa2Cd4 from Alexandria via LeMat-Bulk. Energies are from PBE-GGA.

a b c (Å): 5.211 3.744 11.614
angles (deg): 99.28 102.96 90.00
Fractional positions:
Rb1 0.500 0.000 0.000
Na1 0.797 0.797 0.594
Na2 0.203 0.203 0.406
Cd1 0.650 0.650 0.300
Cd2 0.350 0.350 0.700
Cd3 0.080 0.580 0.161
Cd4 0.920 0.420 0.839

Computed properties:
Calculated formation energy: -0.03 eV/atom
Space group: Immm (71)
E: -1.066 eV per atom
Magnetic moment: 0.00 μB/f.u.

***

Here is an optimized crystal structure of CePb from Alexandria via LeMat-Bulk. Energies are from PBE-GGA.

a b c (Å): 4.553 4.553 4.553
angles (deg): 60.00 60.00 60.00
Fractional positions:
Pb1 0.000 0.000 0.000
Ce1 0.500 0.500 0.500

Computed properties:
Calculated formation energy: -0.29 eV/atom
Space group: Fm-3m (225)
E: -5.109 eV per atom
Magnetic moment: 0.26 μB/f.u.

***

Here is an optimized crystal structure of PuUSiTc from Alexandria via LeMat-Bulk. Energies are from PBE-GGA.

a b c (Å): 4.677 4.677 4.677
angles (deg): 60.00 60.00 60.00
Fractional positions:
Si1 0.000 0.000 0.000
U1 0.500 0.500 0.500
Tc1 0.250 0.250 0.250
Pu1 0.750 0.750 0.750

Computed properties:
Space group: F-43m (216)
Uncorrected formation energy: -17.3 kJ per mole of atoms
E: -10.532 eV per atom
Magnetic moment: 7.05 μB/f.u.

***

Here is an optimized crystal structure of Pm8NdHo6 from Alexandria via LeMat-Bulk. Energies are from PBE-GGA.

a b c (Å): 9.109 9.109 8.731
angles (deg): 58.56 58.56 60.00
Fractional positions:
Pm1 0.887 0.283 0.580
Pm2 0.749 0.113 0.420
Pm3 0.717 0.749 0.420
Pm4 0.423 0.423 0.732
Pm5 0.577 0.577 0.268
Pm6 0.283 0.251 0.580
Pm7 0.251 0.887 0.580
Pm8 0.113 0.717 0.420
Nd1 0.000 0.000 0.000
Ho1 0.098 0.537 0.118
Ho2 0.753 0.902 0.882
Ho3 0.463 0.753 0.882
Ho4 0.537 0.247 0.118
Ho5 0.247 0.098 0.118
Ho6 0.902 0.463 0.882

Computed properties:
Calculated formation energy: 0.13 eV/atom
Space group: R-3 (148)
E: -4.555 eV per atom
Magnetic moment: 0.00 μB/f.u.

***

Here is an optimized crystal structure of Ca3Ni from Alexandria via LeMat-Bulk. Energies are from PBE-GGA.

a b c (Å): 5.514 5.514 5.514
angles (deg): 90.00 90.00 90.00
Fractional positions:
Ni1 0.000 0.000 0.000
Ca1 0.500 0.000 0.000
Ca2 0.000 0.500 0.000
Ca3 0.000 0.000 0.500

Computed properties:
Calculated formation energy: 0.12 eV/atom
Space group: Pm-3m (221)
E: -2.827 eV per atom
Magnetic moment: 0.00 μB/f.u.

***

Here is an optimized crystal structure of LiAcAg from Alexandria via LeMat-Bulk. Energies are from PBE-GGA.

a b c (Å): 4.344 4.344 9.087
angles (deg): 103.81 103.81 90.15
Fractional positions:
Li1 0.500 0.000 0.000
Li2 0.000 0.500 0.000
Ac1 0.322 0.322 0.644
Ac2 0.678 0.678 0.356
Ag1 0.898 0.898 0.797
Ag2 0.102 0.102 0.203

Computed properties:
Calculated formation energy: -0.17 eV/atom
Space group: Fmmm (69)
Energy above the most stable polymorph in this dataset: 10 meV/atom
E: -3.130 eV per atom
Magnetic moment: 0.00 μB/f.u.

***

Here is an optimized crystal structure of RbLiNbBr6 from Alexandria via LeMat-Bulk. Energies are from PBE-GGA.

a b c (Å): 7.015 7.015 15.313
angles (deg): 90.00 90.00 120.00
Fractional positions:
Rb1 0.000 0.000 0.000
Rb2 0.000 0.000 0.500
Li1 0.333 0.667 0.250
Li2 0.667 0.333 0.750
Nb1 0.667 0.333 0.250
Nb2 0.333 0.667 0.750
Br1 0.635 0.619 0.152
Br2 0.984 0.365 0.152
Br3 0.365 0.984 0.652
Br4 0.016 0.635 0.848
Br5 0.381 0.365 0.348
Br6 0.984 0.619 0.348
Br7 0.619 0.984 0.848
Br8 0.635 0.016 0.348
Br9 0.016 0.381 0.652
Br10 0.381 0.016 0.152
Br11 0.619 0.635 0.652
Br12 0.365 0.381 0.848

Computed properties:
Space group: P-31c (163)
Uncorrected formation energy: -115.2 kJ per mole of atoms
E: -3.749 eV per atom
Magnetic moment: 1.00 μB/f.u.

***

Here is an optimized crystal structure of La5Pm2PrHo from Alexandria via LeMat-Bulk. Energies are from PBE-GGA.

a b c (Å): 9.227 9.227 10.029
angles (deg): 117.39 117.39 90.00
Fractional positions:
La1 0.931 0.431 0.278
La2 0.653 0.153 0.722
La3 0.069 0.569 0.722
La4 0.153 0.069 0.722
La5 0.569 0.653 0.722
La6 0.847 0.931 0.278
La7 0.431 0.347 0.278
La8 0.347 0.847 0.278
La9 0.500 0.500 0.000
La10 0.000 0.000 0.000
Pm1 0.113 0.387 0.000
Pm2 0.613 0.113 0.000
Pm3 0.387 0.887 0.000
Pm4 0.887 0.613 0.000
Pr1 0.250 0.250 0.500
Pr2 0.750 0.750 0.500
Ho1 0.250 0.750 0.500
Ho2 0.750 0.250 0.500

Computed properties:
Calculated formation energy: 0.26 eV/atom
Space group: I4/mcm (140)
E: -4.569 eV per atom
Magnetic moment: 0.00 μB/f.u.

***

Here is an optimized crystal structure of Zr3Se4 from Alexandria via LeMat-Bulk. Energies are from PBE-GGA.

a b c (Å): 6.614 6.614 3.798
angles (deg): 90.00 90.00 107.52
Fractional positions:
Zr1 0.000 0.500 0.000
Zr2 0.000 0.000 0.500
Zr3 0.500 0.000 0.000
Se1 0.735 0.265 0.500
Se2 0.743 0.743 0.000
Se3 0.265 0.735 0.500
Se4 0.257 0.257 0.000

Computed properties:
Space group: Cmmm (65)
Uncorrected formation energy: -124.1 kJ per mole of atoms
Energy above the most stable polymorph in this dataset: 0 meV/atom
E: -6.940 eV per atom
Magnetic moment: 0.00 μB/f.u.

***

Here is an optimized crystal structure of LaBe3As from Alexandria via LeMat-Bulk. Energies are from PBE-GGA.

a b c (Å): 4.470 4.470 4.470
angles (deg): 90.00 90.00 90.00
Fractional positions:
Be1 0.000 0.500 0.000
Be2 0.000 0.000 0.500
Be3 0.500 0.000 0.000
As1 0.000 0.000 0.000
La1 0.500 0.500 0.500

Computed properties:
Calculated formation energy: 0.48 eV/atom
Space group: Pm-3m (221)
Energy above the most stable polymorph in this dataset: 0 meV/atom
E: -3.673 eV per atom
Magnetic moment: 0.00 μB/f.u.